Here is an optimized crystal structure of Sc4CoNiC2 from the Open Quantum Materials Database. Energies are from PBE-GGA.

Cell lengths 3.2847, 3.2847, 12.8871 Å; angles 90.00, 90.00, 120.00 degrees
Closest atoms and distances in Å follow each position.
Fractional coordinates of all 8 atoms:
Sc 0.6667 0.3333 0.8483  3 C 2.29
Sc 0.0000 0.0000 0.6541  3 C 2.26
Ni 0.6667 0.3333 0.5000  6 Sc 2.75
Co 0.0000 0.0000 0.0000  6 Sc 2.72
C 0.3333 0.6667 0.7491  6 Sc 2.26-2.29
Sc 0.0000 0.0000 0.3459  3 C 2.26
C 0.3333 0.6667 0.2509  6 Sc 2.26-2.29
Sc 0.6667 0.3333 0.1517  3 C 2.29

Calculated values
Space-group type = P-6m2 (187)
E_tot = -7.2992 eV/atom
Magnetization = 0.080 μB per atom